Record 1
Computed, not measured: an optimized crystal structure of Ca5SmIn3 at the GGA-PBE level of DFT.

Calculated values
* total energy: -51.99 eV/cell
* calculated formation energy: -33 kJ/mol of atoms
* space-group type: No. 193

```
Ca5SmIn3
1.0
-1.209 5.468 -4.440
-2.071 -6.159 -7.021
-6.930 3.165 5.785
In Ca Sm
6 10 2
Direct
0.250 0.000 0.320
0.750 0.000 0.680
0.250 0.680 0.680
0.750 0.680 0.000
0.750 0.320 0.320
0.250 0.320 0.000
0.750 0.659 0.660
0.500 0.333 0.667
0.250 0.660 0.000
0.500 0.667 0.333
0.000 0.667 0.333
0.000 0.333 0.667
0.250 0.000 0.660
0.750 0.000 0.340
0.750 0.340 0.000
0.250 0.341 0.340
0.000 0.000 0.000
0.500 0.000 0.000
```



Record 2
Computed, not measured: an optimized crystal structure of CaSm3In2 at the GGA-PBE level of DFT.

Calculated values
* total energy: -45.95 eV/cell
* calculated formation energy: -22 kJ/mol of atoms
* space-group type: No. 12
* energy above the most stable polymorph in this dataset: 158 meV per atom

```
CaSm3In2
1.0
5.511 0.000 0.000
-2.756 9.270 -0.761
0.000 -4.880 7.758
Sm Ca In
6 2 4
Direct
0.383 0.766 0.303
0.309 0.618 0.615
0.617 0.234 0.697
0.940 0.880 0.595
0.691 0.382 0.385
0.060 0.120 0.405
0.863 0.726 0.922
0.137 0.274 0.078
0.478 0.957 0.126
0.522 0.043 0.874
0.228 0.455 0.851
0.772 0.545 0.149
```



Record 3
Computed, not measured: an optimized crystal structure of CaSm4In4 at the GGA-PBE level of DFT.

Calculated values
* total energy: -68.72 eV/cell
* calculated formation energy: -27 kJ/mol of atoms
* space-group type: No. 86

```
CaSm4In4
1.0
-0.174 -5.246 3.217
2.311 -4.768 -7.651
9.011 0.991 2.104
Sm In Ca
8 8 2
Direct
0.129 0.076 0.663
0.629 0.837 0.576
0.129 0.924 0.337
0.371 0.424 0.837
0.871 0.663 0.924
0.629 0.163 0.424
0.371 0.576 0.163
0.871 0.337 0.076
0.115 0.296 0.397
0.385 0.796 0.897
0.115 0.704 0.603
0.615 0.103 0.796
0.885 0.397 0.704
0.385 0.204 0.103
0.615 0.897 0.204
0.885 0.603 0.296
0.500 0.500 0.500
0.000 0.000 0.000
```



Record 4
Computed, not measured: an optimized crystal structure of Ca4SmIn5 at the GGA-PBE level of DFT.

Calculated values
* total energy: -31.13 eV/cell
* calculated formation energy: -45 kJ/mol of atoms
* space-group type: No. 123

```
Ca4SmIn5
1.0
-2.535 -0.249 2.914
-1.733 -2.978 -1.762
11.584 -12.093 9.041
Sm Ca In
1 4 5
Direct
0.000 0.000 0.000
0.000 0.000 0.201
0.000 0.000 0.400
0.000 0.000 0.600
0.000 0.000 0.799
0.500 0.500 0.500
0.500 0.500 0.100
0.500 0.500 0.900
0.500 0.500 0.300
0.500 0.500 0.700
```



Record 5
Computed, not measured: an optimized crystal structure of SrCa2SmIn4 at the GGA-PBE level of DFT.

Calculated values
* total energy: -24.99 eV/cell
* calculated formation energy: -44 kJ/mol of atoms
* space-group type: No. 166

```
SrCa2SmIn4
1.0
5.513 0.000 0.000
2.757 4.775 0.000
2.757 1.592 9.022
Sm In Sr Ca
1 4 1 2
Direct
0.500 0.500 0.500
0.873 0.873 0.380
0.379 0.379 0.863
0.127 0.127 0.620
0.621 0.621 0.137
0.000 0.000 0.000
0.750 0.750 0.751
0.250 0.250 0.249
```



Record 6
Computed, not measured: an optimized crystal structure of CaTb2SmIn4 at the GGA-PBE level of DFT.

Calculated values
* total energy: -30.70 eV/cell
* calculated formation energy: -45 kJ/mol of atoms
* space-group type: No. 166

```
CaTb2SmIn4
1.0
-3.956 -2.344 -2.773
0.877 -1.693 -5.019
1.472 -9.222 0.496
Sm Tb Ca In
1 2 1 4
Direct
0.000 0.000 0.000
0.752 0.752 0.744
0.248 0.248 0.256
0.500 0.500 0.500
0.375 0.375 0.876
0.875 0.875 0.374
0.125 0.125 0.626
0.625 0.625 0.124
```



Record 7
Computed, not measured: an optimized crystal structure of CaSm2In3Te6 at the GGA-PBE level of DFT.

Calculated values
* total energy: -49.83 eV/cell
* space-group type: No. 12

```
CaSm2In3Te6
1.0
-3.614 -0.500 2.587
2.648 -8.818 1.995
6.025 6.268 5.761
Sm In Te Ca
2 3 6 1
Direct
0.833 0.669 0.666
0.167 0.331 0.334
0.500 0.500 0.000
0.836 0.166 0.671
0.164 0.834 0.329
0.007 0.248 0.014
0.665 0.096 0.329
0.670 0.570 0.340
0.993 0.752 0.986
0.335 0.904 0.671
0.330 0.430 0.660
0.500 0.000 0.000
```



Record 8
Computed, not measured: an optimized crystal structure of CaSmTlIn at the GGA-PBE level of DFT.

Calculated values
* total energy: -13.52 eV/cell
* calculated formation energy: -41 kJ/mol of atoms
* space-group type: No. 216

```
CaSmTlIn
1.0
-4.679 -2.296 -1.625
-0.014 -3.494 -4.194
-0.882 -5.315 0.878
In Tl Sm Ca
1 1 1 1
Direct
0.500 0.500 0.500
0.000 0.000 0.000
0.250 0.250 0.250
0.750 0.750 0.750
```



Record 9
Computed, not measured: an optimized crystal structure of CaSmZnIn at the GGA-PBE level of DFT.

Calculated values
* total energy: -12.30 eV/cell
* calculated formation energy: -38 kJ/mol of atoms
* space-group type: No. 216

```
CaSmZnIn
1.0
5.318 0.000 0.000
2.659 4.606 0.000
2.659 1.535 4.342
Ca Sm Zn In
1 1 1 1
Direct
0.250 0.250 0.250
0.750 0.750 0.750
0.000 0.000 0.000
0.500 0.500 0.500
```



Record 10
Computed, not measured: an optimized crystal structure of CaIn4Sn at the GGA-PBE level of DFT.

Calculated values
* total energy: -36.20 eV/cell
* calculated formation energy: -18 kJ/mol of atoms
* space-group type: No. 63
* energy above the most stable polymorph in this dataset: 0 meV per atom

```
CaIn4Sn
1.0
-2.667 2.530 -4.034
-0.072 -5.523 -3.418
-8.011 -5.037 2.136
In Ca Sn
8 2 2
Direct
0.250 0.800 0.414
0.250 0.963 0.078
0.750 0.200 0.586
0.250 0.286 0.414
0.750 0.037 0.922
0.750 0.541 0.922
0.250 0.459 0.078
0.750 0.714 0.586
0.250 0.377 0.747
0.750 0.623 0.253
0.250 0.884 0.731
0.750 0.116 0.269
```



Record 11
Computed, not measured: an optimized crystal structure of Ca2InSn at the GGA-PBE level of DFT.

Calculated values
* total energy: -12.89 eV/cell
* calculated formation energy: -52 kJ/mol of atoms
* space-group type: No. 123
* energy above the most stable polymorph in this dataset: 19 meV per atom

```
Ca2InSn
1.0
-2.541 1.849 3.346
2.699 -2.399 3.375
3.108 3.836 0.241
Ca Sn In
2 1 1
Direct
0.000 0.500 0.000
0.000 0.000 0.500
0.500 0.000 0.000
0.500 0.500 0.500
```



Record 12
Computed, not measured: an optimized crystal structure of CaInSn3 at the GGA-PBE level of DFT.

Calculated values
* total energy: -35.55 eV/cell
* calculated formation energy: -20 kJ/mol of atoms
* space-group type: No. 11
* energy above the most stable polymorph in this dataset: 0 meV per atom

```
CaInSn3
1.0
-1.056 -3.277 2.926
7.596 -1.560 0.936
0.362 5.610 6.414
Ca In Sn
2 2 6
Direct
0.999 0.944 0.750
0.001 0.056 0.250
0.994 0.369 0.750
0.006 0.631 0.250
0.503 0.816 0.044
0.497 0.184 0.956
0.505 0.383 0.250
0.503 0.816 0.456
0.497 0.184 0.544
0.495 0.617 0.750
```



Record 13
Computed, not measured: an optimized crystal structure of Ca2InSn5 at the GGA-PBE level of DFT.

Calculated values
* total energy: -59.57 eV/cell
* calculated formation energy: -37 kJ/mol of atoms
* space-group type: No. 55

```
Ca2InSn5
1.0
-1.604 4.383 -0.223
-1.821 -0.334 6.527
12.237 4.665 3.653
In Sn Ca
2 10 4
Direct
0.000 0.500 0.000
0.000 0.000 0.500
0.000 0.492 0.749
0.500 0.755 0.376
0.000 0.008 0.249
0.000 0.000 0.000
0.500 0.255 0.124
0.000 0.992 0.751
0.000 0.508 0.251
0.500 0.245 0.624
0.000 0.500 0.500
0.500 0.745 0.876
0.500 0.244 0.873
0.500 0.744 0.627
0.500 0.756 0.127
0.500 0.256 0.373
```



Record 14
Computed, not measured: an optimized crystal structure of Ca3In2Sn3 at the GGA-PBE level of DFT.

Calculated values
* total energy: -53.39 eV/cell
* calculated formation energy: -39 kJ/mol of atoms
* space-group type: No. 63
* energy above the most stable polymorph in this dataset: 62 meV per atom

```
Ca3In2Sn3
1.0
-3.760 -2.952 -1.486
3.602 -2.627 4.537
-9.269 6.273 10.992
Ca Sn In
6 6 4
Direct
0.643 0.286 0.028
0.357 0.714 0.972
0.643 0.286 0.472
0.519 0.038 0.750
0.481 0.962 0.250
0.357 0.714 0.528
0.053 0.106 0.597
0.773 0.546 0.250
0.947 0.894 0.403
0.053 0.106 0.903
0.947 0.894 0.097
0.227 0.454 0.750
0.198 0.396 0.350
0.198 0.396 0.150
0.802 0.604 0.850
0.802 0.604 0.650
```



Record 15
Computed, not measured: an optimized crystal structure of CaIn12Sn6 at the GGA-PBE level of DFT.

Calculated values
* total energy: -59.03 eV/cell
* calculated formation energy: -1 kJ/mol of atoms
* space-group type: No. 148

```
CaIn12Sn6
1.0
8.212 0.327 1.263
1.132 8.140 1.263
0.361 0.327 8.301
Sn In Ca
6 12 1
Direct
0.630 0.194 0.123
0.370 0.806 0.877
0.123 0.630 0.194
0.806 0.877 0.370
0.194 0.123 0.630
0.877 0.370 0.806
0.995 0.176 0.346
0.654 0.005 0.824
0.447 0.791 0.497
0.553 0.209 0.503
0.005 0.824 0.654
0.824 0.654 0.005
0.176 0.346 0.995
0.791 0.497 0.447
0.346 0.995 0.176
0.497 0.447 0.791
0.209 0.503 0.553
0.503 0.553 0.209
0.000 0.000 0.000
```



Record 16
Computed, not measured: an optimized crystal structure of Ca4In3Sn at the GGA-PBE level of DFT.

Calculated values
* total energy: -24.24 eV/cell
* calculated formation energy: -48 kJ/mol of atoms
* space-group type: No. 123

```
Ca4In3Sn
1.0
-0.292 1.855 -3.352
-1.164 -3.246 -1.695
-14.762 3.588 3.269
In Ca Sn
3 4 1
Direct
0.500 0.500 0.500
0.500 0.500 0.254
0.500 0.500 0.746
0.000 0.000 0.127
0.000 0.000 0.873
0.000 0.000 0.624
0.000 0.000 0.376
0.500 0.500 0.000
```



Record 17
Computed, not measured: an optimized crystal structure of Ca6In3Sn at the GGA-PBE level of DFT.

Calculated values
* total energy: -57.53 eV/cell
* calculated formation energy: -44 kJ/mol of atoms
* space-group type: No. 11

```
Ca6In3Sn
1.0
-0.658 2.793 -4.634
6.682 -5.404 -4.207
-10.647 -5.535 -1.825
Ca Sn In
12 2 6
Direct
0.250 0.841 0.323
0.250 0.239 0.503
0.750 0.859 0.815
0.750 0.159 0.677
0.750 0.761 0.497
0.250 0.648 0.666
0.750 0.352 0.334
0.250 0.470 0.087
0.250 0.107 0.890
0.250 0.141 0.185
0.750 0.893 0.110
0.750 0.530 0.913
0.750 0.045 0.376
0.250 0.955 0.624
0.250 0.521 0.372
0.750 0.612 0.214
0.250 0.388 0.786
0.750 0.479 0.628
0.250 0.769 0.964
0.750 0.231 0.036
```



Record 18
Computed, not measured: an optimized crystal structure of CaIn2Sn at the GGA-PBE level of DFT.

Calculated values
* total energy: -12.92 eV/cell
* calculated formation energy: -35 kJ/mol of atoms
* space-group type: No. 123

```
CaIn2Sn
1.0
4.856 0.000 0.000
0.000 4.673 0.000
0.000 0.000 4.673
Sn In Ca
1 2 1
Direct
0.500 0.000 0.000
0.000 0.000 0.500
0.000 0.500 0.000
0.500 0.500 0.500
```



Record 19
Computed, not measured: an optimized crystal structure of CaIn3Sn at the GGA-PBE level of DFT.

Calculated values
* total energy: -11.20 eV/cell
* calculated formation energy: 58 kJ/mol of atoms
* space-group type: No. 221
* energy above the most stable polymorph in this dataset: 827 meV per atom

```
CaIn3Sn
1.0
-0.127 0.249 5.787
5.422 -2.029 0.206
2.036 5.420 -0.189
In Sn Ca
3 1 1
Direct
0.000 0.000 0.500
0.500 0.000 0.000
0.000 0.500 0.000
0.500 0.500 0.500
0.000 0.000 0.000
```



Record 20
Computed, not measured: an optimized crystal structure of CaInSn2 at the GGA-PBE level of DFT.

Calculated values
* total energy: -26.85 eV/cell
* calculated formation energy: -16 kJ/mol of atoms
* space-group type: No. 122

```
CaInSn2
1.0
4.811 0.000 0.000
0.000 4.811 0.000
2.405 2.405 10.612
Ca Sn In
2 4 2
Direct
0.250 0.750 0.500
0.500 0.500 0.000
0.666 0.125 0.250
0.084 0.625 0.250
0.875 0.916 0.750
0.375 0.334 0.750
0.750 0.250 0.500
0.000 0.000 0.000
```